[1]
DFT (GGA-PBE) results for a relaxed SrAlIr crystal.

## Properties
The total energy comes out at -15.93 eV/f.u. As for the space group: No. 11. For the formation energy, the calculation gives -547 meV/atom. The value obtained for the size of the total moment is 0.000 μB/f.u.

Lattice parameters (Å, degrees): 4.6022 4.9024 6.1731 97.59 90.00 90.00
Positions (direct):
Al  0.2500  0.8294  0.4951
Al  0.7500  0.1706  0.5049
Ir  0.2500  0.3466  0.6195
Ir  0.7500  0.6534  0.3805
Sr  0.2500  0.2740  0.1251
Sr  0.7500  0.7260  0.8749

---

[2]
DFT (GGA-PBE) results for a relaxed Tm3ZrIn2 crystal.

## Properties
The total energy comes out at -29.18 eV/f.u. As for the space group: No. 123. For the formation energy, the calculation gives -291 meV/atom. The value obtained for the size of the total moment is 0.106 μB/f.u.

Lattice parameters (Å, degrees): 3.4896 3.4896 12.7857 90.00 90.00 90.00
Positions (direct):
Tm  0.0000  0.0000  0.0000
Tm  0.0000  0.0000  0.6715
Tm  0.0000  0.0000  0.3285
Zr  0.5000  0.5000  0.5000
In  0.5000  0.5000  0.8377
In  0.5000  0.5000  0.1623

---

[3]
DFT (GGA-PBE) results for a relaxed CaMg2 crystal.

## Properties
The total energy comes out at -5.36 eV/f.u. As for the space group: No. 139. For the formation energy, the calculation gives -56 meV/atom. The value obtained for the size of the total moment is 0.000 μB/f.u.

Lattice parameters (Å, degrees): 6.6511 6.6511 6.6511 147.49 147.49 46.64
Positions (direct):
Ca  0.5000  0.5000  0.0000
Mg  0.1830  0.1830  0.0000
Mg  0.8170  0.8170  0.0000

---

[4]
DFT (GGA-PBE) results for a relaxed TiCuSi2S crystal.

## Properties
The total energy comes out at -24.28 eV/f.u. As for the space group: No. 123. The raw formation energy is 0.536 eV per atom. The value obtained for the size of the total moment is 0.000 μB/f.u.

Lattice parameters (Å, degrees): 4.1800 5.2240 4.1800 90.00 90.00 90.00
Positions (direct):
S  0.5000  0.5000  0.5000
Si  0.0000  0.0000  0.5000
Si  0.5000  0.0000  0.0000
Cu  0.0000  0.0000  0.0000
Ti  0.0000  0.5000  0.0000

---

[5]
DFT (GGA-PBE) results for a relaxed NaPuSn2S4 crystal.

## Properties
The total energy comes out at -47.44 eV/f.u. As for the space group: No. 10. The raw formation energy is -0.909 eV per atom. The value obtained for the size of the total moment is 4.998 μB/f.u.

Lattice parameters (Å, degrees): 4.0896 7.1895 6.9585 71.34 90.00 90.00
Positions (direct):
Na  0.5000  0.5000  0.0000
Pu  0.0000  0.5000  0.5000
Sn  0.0000  0.0000  0.0000
Sn  0.5000  0.0000  0.5000
S  0.0000  0.7440  0.7390
S  0.0000  0.2560  0.2610
S  0.5000  0.7325  0.2674
S  0.5000  0.2675  0.7326

---

[6]
DFT (GGA-PBE) results for a relaxed La9PmSm2 crystal.

## Properties
The total energy comes out at -58.47 eV/f.u. As for the space group: No. 123. For the formation energy, the calculation gives 6 meV/atom. The value obtained for the size of the total moment is 0.000 μB/f.u.

Lattice parameters (Å, degrees): 5.2306 5.2306 15.6966 90.00 90.00 90.00
Positions (direct):
La  0.5000  0.5000  0.0000
La  0.5000  0.5000  0.3334
La  0.5000  0.5000  0.6666
La  0.5000  0.0000  0.1668
La  0.5000  0.0000  0.5000
La  0.5000  0.0000  0.8332
La  0.0000  0.5000  0.1668
La  0.0000  0.5000  0.5000
La  0.0000  0.5000  0.8332
Pm  0.0000  0.0000  0.0000
Sm  0.0000  0.0000  0.3334
Sm  0.0000  0.0000  0.6666

---

[7]
DFT (GGA-PBE) results for a relaxed PrPI crystal.

## Properties
As for the offset from the most stable computed form: 3.3 kJ per mole of atoms. The total energy comes out at -15.35 eV/f.u. As for the space group: No. 14. The raw formation energy is -1.205 eV per atom. The value obtained for the size of the total moment is 0.000 μB/f.u.

Lattice parameters (Å, degrees): 7.3529 12.7035 4.7860 90.00 90.00 109.85
Positions (direct):
Pr  0.5940  0.6546  0.0271
Pr  0.0940  0.6546  0.4729
Pr  0.9060  0.3454  0.5271
Pr  0.4060  0.3454  0.9729
P  0.7828  0.4926  0.1483
P  0.2828  0.4926  0.3517
P  0.7172  0.5074  0.6483
P  0.2172  0.5074  0.8517
I  0.0540  0.8247  0.9829
I  0.5540  0.8247  0.5171
I  0.4460  0.1753  0.4829
I  0.9460  0.1753  0.0171

---

[8]
DFT (GGA-PBE) results for a relaxed AlPS2O crystal.

## Properties
As for the offset from the most stable computed form: 0.0 kJ per mole of atoms. The total energy comes out at -19.44 eV/f.u. As for the space group: No. 123. The raw formation energy is 0.585 eV per atom. The value obtained for the size of the total moment is 0.000 μB/f.u.

Lattice parameters (Å, degrees): 4.2058 4.2058 4.1924 90.00 90.00 90.00
Positions (direct):
P  0.0000  0.0000  0.5000
S  0.0000  0.5000  0.0000
S  0.5000  0.0000  0.0000
Al  0.5000  0.5000  0.5000
O  0.0000  0.0000  0.0000

---

[9]
DFT (GGA-PBE) results for a relaxed Y2Si3HgPt4 crystal.

## Properties
The total energy comes out at -62.61 eV/f.u. As for the space group: No. 115. The raw formation energy is -0.895 eV per atom. The value obtained for the size of the total moment is 0.000 μB/f.u.

Lattice parameters (Å, degrees): 4.1299 4.1299 10.8577 90.00 90.00 90.00
Positions (direct):
Y  0.5000  0.0000  0.2442
Y  0.0000  0.5000  0.7558
Si  0.0000  0.0000  0.5000
Si  0.5000  0.0000  0.8754
Si  0.0000  0.5000  0.1246
Hg  0.5000  0.5000  0.5000
Pt  0.5000  0.5000  0.0000
Pt  0.0000  0.0000  0.0000
Pt  0.5000  0.0000  0.6635
Pt  0.0000  0.5000  0.3365

---

[10]
DFT (GGA-PBE) results for a relaxed EuLuSb crystal.

## Properties
The total energy comes out at -20.45 eV/f.u. As for the space group: No. 156. The raw formation energy is -0.512 eV per atom. The value obtained for the size of the total moment is 7.125 μB/f.u.

Lattice parameters (Å, degrees): 4.2999 5.0732 5.0732 120.00 90.00 90.00
Positions (direct):
Eu  0.6597  0.6667  0.3333
Sb  0.1882  0.3333  0.6667
Lu  0.1521  0.0000  0.0000

---

[11]
DFT (GGA-PBE) results for a relaxed HfGaPO2 crystal.

## Properties
As for the offset from the most stable computed form: 0.0 kJ per mole of atoms. The total energy comes out at -35.79 eV/f.u. As for the space group: No. 123. The raw formation energy is -1.496 eV per atom. The value obtained for the size of the total moment is 0.005 μB/f.u.

Lattice parameters (Å, degrees): 3.9784 3.9784 5.5444 90.00 90.00 90.00
Positions (direct):
P  0.0000  0.0000  0.5000
Hf  0.0000  0.0000  0.0000
O  0.0000  0.5000  0.0000
O  0.5000  0.0000  0.0000
Ga  0.5000  0.5000  0.5000

---

[12]
DFT (GGA-PBE) results for a relaxed YZn2Si crystal.

## Properties
The total energy comes out at -14.88 eV/f.u. As for the space group: No. 122. The raw formation energy is -0.112 eV per atom. The value obtained for the size of the total moment is 0.000 μB/f.u.

Lattice parameters (Å, degrees): 4.1518 4.1518 10.0178 78.04 78.04 90.00
Positions (direct):
Y  0.0000  0.0000  0.0000
Y  0.7500  0.2500  0.5000
Zn  0.5488  0.1250  0.2500
Zn  0.2012  0.6250  0.2500
Zn  0.3750  0.4512  0.7500
Zn  0.8750  0.7988  0.7500
Si  0.5000  0.5000  0.0000
Si  0.2500  0.7500  0.5000